# Rb2In4PbAu3 | Alexandria via LeMat-Bulk | GGA-PBE | optimized geometry
data_Rb2In4PbAu3
_chemical_formula_sum 'Rb2 In4 Pb1 Au3'
_cell_length_a 5.111
_cell_length_b 5.111
_cell_length_c 11.354
_cell_angle_alpha 90.00
_cell_angle_beta 90.00
_cell_angle_gamma 90.00
_symmetry_space_group_name_H-M 'P -4 m 2'
_symmetry_Int_Tables_number 115
_symmetry_space_group_name_Hall 'P -4 -2'
loop_
_atom_site_label
_atom_site_fract_x
_atom_site_fract_y
_atom_site_fract_z
_atom_site_occupancy
Rb1 0.000 0.500 0.249 1
In1 0.000 0.000 0.500 1
In2 0.000 0.500 0.859 1
In3 0.500 0.500 0.500 1
Pb1 0.500 0.500 0.000 1
Au1 0.000 0.000 0.000 1
Au2 0.000 0.500 0.613 1
# calculated density	8.0	g/cm³
# uncorrected energy	-2.87	eV/atom
# formation energy	-0.226	eV/atom
# total magnetization	0.000	μB per formula unit
# density of states at the Fermi level	4.1	states/eV per cell